1.
# CeSmZnIr (PBE-GGA, optimized geometry)
# Energy of formation: -0.47 eV per atom
# Total magnetization: 0.66 μB per formula unit
data_CeSmZnIr
_cell_length_a 7.116
_cell_length_b 7.116
_cell_length_c 7.116
_cell_angle_alpha 90.00
_cell_angle_beta 90.00
_cell_angle_gamma 90.00
_space_group_name_H-M_alt 'F -4 3 m'
_space_group_IT_number 216
_space_group_name_Hall 'F -4 2 3'
loop_
_atom_site_label
_atom_site_type_symbol
_atom_site_fract_x
_atom_site_fract_y
_atom_site_fract_z
Ce1 Ce 0.000 0.000 0.000
Sm1 Sm 0.000 0.000 0.500
Zn1 Zn 0.250 0.250 0.750
Ir1 Ir 0.250 0.250 0.250

---

2.
# Ga2CuBrF (PBE-GGA, optimized geometry)
# ΔE_f (raw): -198 meV per atom
# Total magnetization: 0.00 μB per formula unit
data_Ga2CuBrF
_cell_length_a 4.431
_cell_length_b 4.431
_cell_length_c 5.880
_cell_angle_alpha 90.00
_cell_angle_beta 90.00
_cell_angle_gamma 90.00
_space_group_name_H-M_alt 'P 4/m m m'
_space_group_IT_number 123
_space_group_name_Hall '-P 4 2'
loop_
_atom_site_label
_atom_site_type_symbol
_atom_site_fract_x
_atom_site_fract_y
_atom_site_fract_z
Ga1 Ga 0.000 0.500 0.000
Cu1 Cu 0.000 0.000 0.500
Br1 Br 0.500 0.500 0.500
F1 F 0.500 0.500 0.000

---

3.
# MnWAu2 (PBE-GGA, optimized geometry)
# Energy of formation: 0.19 eV per atom
# Total magnetization: 3.29 μB per formula unit
data_MnWAu2
_cell_length_a 2.802
_cell_length_b 2.802
_cell_length_c 8.329
_cell_angle_alpha 90.00
_cell_angle_beta 90.00
_cell_angle_gamma 90.00
_space_group_name_H-M_alt 'P 4 m m'
_space_group_IT_number 99
loop_
_space_group_symop_operation_xyz
'x,y,z'
'-y,x,z'
'-x,-y,z'
'y,-x,z'
'-x,y,z'
'y,x,z'
'x,-y,z'
'-y,-x,z'
loop_
_atom_site_label
_atom_site_type_symbol
_atom_site_fract_x
_atom_site_fract_y
_atom_site_fract_z
Mn1 Mn 0.000 0.000 0.000
W1 W 0.500 0.500 0.230
Au1 Au 0.000 0.000 0.484
Au2 Au 0.500 0.500 0.762

---

4.
# Th2ZrSb2 (PBE-GGA, optimized geometry)
# ΔE_f (raw): -628 meV per atom
# Total magnetization: 0.00 μB per formula unit
data_Th2ZrSb2
_cell_length_a 13.014
_cell_length_b 4.237
_cell_length_c 12.120
_cell_angle_alpha 90.00
_cell_angle_beta 121.05
_cell_angle_gamma 90.00
_space_group_name_H-M_alt 'C 1 2/m 1'
_space_group_IT_number 12
loop_
_space_group_symop_operation_xyz
'x,y,z'
'-x,-y,-z'
'-x,y,-z'
'x,-y,z'
'x+1/2,y+1/2,z'
'-x+1/2,-y+1/2,-z'
'-x+1/2,y+1/2,-z'
'x+1/2,-y+1/2,z'
loop_
_atom_site_label
_atom_site_type_symbol
_atom_site_fract_x
_atom_site_fract_y
_atom_site_fract_z
Th1 Th 0.026 0.000 0.180
Th2 Th 0.185 0.000 0.621
Zr1 Zr 0.198 0.500 0.864
Sb1 Sb 0.042 0.500 0.386
Sb2 Sb 0.136 0.500 0.064

---

5.
# Ta2ZnCl (PBE-GGA, optimized geometry)
# ΔE_f (raw): -6 meV per atom
# Total magnetization: 0.00 μB per formula unit
data_Ta2ZnCl
_cell_length_a 2.906
_cell_length_b 2.906
_cell_length_c 9.539
_cell_angle_alpha 90.00
_cell_angle_beta 90.00
_cell_angle_gamma 90.00
_space_group_name_H-M_alt 'P 4 m m'
_space_group_IT_number 99
loop_
_space_group_symop_operation_xyz
'x,y,z'
'-y,x,z'
'-x,-y,z'
'y,-x,z'
'-x,y,z'
'y,x,z'
'x,-y,z'
'-y,-x,z'
loop_
_atom_site_label
_atom_site_type_symbol
_atom_site_fract_x
_atom_site_fract_y
_atom_site_fract_z
Ta1 Ta 0.000 0.000 0.000
Ta2 Ta 0.500 0.500 0.240
Zn1 Zn 0.000 0.000 0.441
Cl1 Cl 0.500 0.500 0.824

---

6.
# NaCaBiCl6 (PBE-GGA, optimized geometry)
# ΔE_f (raw): -1647 meV per atom
# Total magnetization: 0.00 μB per formula unit
data_NaCaBiCl6
_cell_length_a 7.0476
_cell_length_b 7.0476
_cell_length_c 12.5648
_cell_angle_alpha 90.00
_cell_angle_beta 90.00
_cell_angle_gamma 120.00
_space_group_name_H-M_alt 'P -3 1 c'
_space_group_IT_number 163
_space_group_name_Hall '-P 3 2c'
loop_
_atom_site_label
_atom_site_type_symbol
_atom_site_fract_x
_atom_site_fract_y
_atom_site_fract_z
Na1 Na 0.0000 0.0000 0.0000
Ca1 Ca 0.3333 0.6667 0.2500
Bi1 Bi 0.3333 0.6667 0.7500
Cl1 Cl 0.0018 0.3502 0.6293

---

7.
# K4Cd3Ag (PBE-GGA, optimized geometry)
# Energy of formation: -0.05 eV per atom
# Total magnetization: 0.00 μB per formula unit
data_K4Cd3Ag
_cell_length_a 4.896
_cell_length_b 5.199
_cell_length_c 12.780
_cell_angle_alpha 90.00
_cell_angle_beta 90.00
_cell_angle_gamma 90.00
_space_group_name_H-M_alt 'P m m 2'
_space_group_IT_number 25
loop_
_space_group_symop_operation_xyz
'x,y,z'
'-x,-y,z'
'-x,y,z'
'x,-y,z'
loop_
_atom_site_label
_atom_site_type_symbol
_atom_site_fract_x
_atom_site_fract_y
_atom_site_fract_z
K1 K 0.000 0.000 0.000
K2 K 0.000 0.500 0.482
K3 K 0.500 0.000 0.694
K4 K 0.500 0.500 0.201
Cd1 Cd 0.000 0.500 0.780
Cd2 Cd 0.500 0.000 0.400
Cd3 Cd 0.500 0.500 0.908
Ag1 Ag 0.000 0.000 0.286